No. 1
Ge2PdPt4 | GGA-PBE | optimized geometry

```
Ge2PdPt4
1.0
15.855 0.000 0.000
0.000 4.209 0.000
0.000 0.000 6.685
Ge Pd Pt
8 4 16
direct
0.066 0.250 0.209
0.196 0.750 0.732
0.304 0.250 0.232
0.434 0.750 0.709
0.566 0.250 0.291
0.696 0.750 0.768
0.804 0.250 0.268
0.934 0.750 0.791
0.155 0.750 0.196
0.345 0.250 0.696
0.655 0.750 0.304
0.845 0.250 0.804
0.025 0.250 0.848
0.056 0.750 0.558
0.174 0.250 0.493
0.199 0.250 0.937
0.301 0.750 0.437
0.326 0.750 0.993
0.444 0.250 0.058
0.475 0.750 0.348
0.525 0.250 0.652
0.556 0.750 0.942
0.674 0.250 0.007
0.699 0.250 0.563
0.801 0.750 0.063
0.826 0.750 0.507
0.944 0.250 0.442
0.975 0.750 0.152
```

Summary:
- Energy of formation from the pure elements: -2.57 eV per formula unit
- Space group: Pnma
- ΔE to the lowest computed polymorph: 0.0 meV per atom

No. 2
Re2TeMo | GGA-PBE | optimized geometry

```
Re2TeMo
1.0
1.577 -2.354 0.000
1.577 2.354 0.000
0.000 0.000 9.558
Re Te Mo
2 1 1
direct
0.000 0.000 0.219
0.000 0.000 0.781
0.500 0.500 0.500
0.500 0.500 0.000
```

Summary:
- Space group: Cmmm
- Formation energy from raw total energies: 0.7544 eV/atom

No. 3
Nd12Y3Ho | GGA-PBE | optimized geometry

```
Nd12Y3Ho
1.0
5.166 0.000 0.000
0.000 5.166 0.000
0.000 0.000 20.600
Nd Y Ho
12 3 1
direct
0.000 0.000 0.000
0.000 0.000 0.249
0.000 0.000 0.500
0.000 0.000 0.751
0.000 0.500 0.124
0.000 0.500 0.375
0.000 0.500 0.625
0.000 0.500 0.876
0.500 0.000 0.124
0.500 0.000 0.375
0.500 0.000 0.625
0.500 0.000 0.876
0.500 0.500 0.250
0.500 0.500 0.500
0.500 0.500 0.750
0.500 0.500 0.000
```

Summary:
- Energy of formation from the pure elements: 0.19 eV per formula unit
- Space group: P4/mmm

Going through the records in order, we get total DFT energy (no corrections) values of -0.43216; -0.65876; -0.37205 Ry per atom.
Going through the records in order, we get magnetization values of 0.00; 0.00; 0.00 μB per formula unit.